*w*
{"formula": "Ag2OsAu", "functional": "GGA-PBE", "state": "relaxed", "magmom_total_mub_per_fu": 0.0, "crystal_system": "trigonal", "cell": [[2.8144, 0.0000, 0.0000], [-1.4072, 2.4374, 0.0000], [0.0000, 0.0000, 29.1704]], "species": ["Ag", "Ag", "Ag", "Ag", "Ag", "Ag", "Os", "Os", "Os", "Au", "Au", "Au"], "fractional_positions": [[0.0000, 0.0000, 0.0000], [0.0000, 0.0000, 0.2484], [0.3333, 0.6667, 0.6667], [0.3333, 0.6667, 0.9151], [0.6667, 0.3333, 0.3333], [0.6667, 0.3333, 0.5817], [0.0000, 0.0000, 0.7481], [0.3333, 0.6667, 0.4147], [0.6667, 0.3333, 0.0814], [0.0000, 0.0000, 0.4957], [0.3333, 0.6667, 0.1623], [0.6667, 0.3333, 0.8290]]}

---

*x*
{"formula": "Ag2OsAu", "functional": "GGA-PBE", "state": "relaxed", "magmom_total_mub_per_fu": 0.0, "crystal_system": "orthorhombic", "cell": [[2.8218, 0.0000, 0.0000], [0.0000, 4.7893, 0.0000], [0.0000, 0.0000, 10.0415]], "species": ["Ag", "Ag", "Ag", "Ag", "Os", "Os", "Au", "Au"], "fractional_positions": [[0.0000, 0.0000, 0.0000], [0.0000, 0.5000, 0.2507], [0.5000, 0.0000, 0.2507], [0.5000, 0.5000, 0.0000], [0.0000, 0.5000, 0.7539], [0.5000, 0.0000, 0.7539], [0.0000, 0.0000, 0.5052], [0.5000, 0.5000, 0.5052]]}

---

Stability summary: most stable *w*, least stable *x*.

---

*w*
{"formula": "Ag2OsAu", "functional": "GGA-PBE", "state": "relaxed", "magmom_total_mub_per_fu": 0.0, "crystal_system": "orthorhombic", "cell": [[2.7233, 0.0000, 0.0000], [0.0000, 5.0174, 0.0000], [0.0000, 0.0000, 10.0734]], "species": ["Ag", "Ag", "Ag", "Ag", "Os", "Os", "Au", "Au"], "fractional_positions": [[0.0000, 0.0000, 0.0000], [0.0000, 0.5000, 0.2402], [0.5000, 0.0000, 0.7402], [0.5000, 0.5000, 0.5000], [0.0000, 0.0000, 0.4937], [0.5000, 0.5000, 0.9937], [0.0000, 0.5000, 0.7564], [0.5000, 0.0000, 0.2564]]}

---

*x*
{"formula": "Ag2OsAu", "functional": "GGA-PBE", "state": "relaxed", "magmom_total_mub_per_fu": 0.0, "crystal_system": "orthorhombic", "cell": [[2.7477, 0.0000, 0.0000], [0.0000, 4.9402, 0.0000], [0.0000, 0.0000, 4.9912]], "species": ["Ag", "Ag", "Os", "Au"], "fractional_positions": [[0.0000, 0.0000, 0.0000], [0.5000, 0.5000, 0.0000], [0.0000, 0.5000, 0.5000], [0.5000, 0.0000, 0.5000]]}

---

*y*
{"formula": "Ag2OsAu", "functional": "GGA-PBE", "state": "relaxed", "magmom_total_mub_per_fu": 0.1, "crystal_system": "orthorhombic", "cell": [[2.7192, 0.0000, 0.0000], [0.0000, 4.2286, 0.0000], [0.0000, 0.0000, 5.8711]], "species": ["Ag", "Ag", "Os", "Au"], "fractional_positions": [[0.0000, 0.0000, 0.0000], [0.5000, 0.5000, 0.2490], [0.5000, 0.5000, 0.7485], [0.0000, 0.0000, 0.5207]]}

---

*z*
{"formula": "Ag2OsAu", "functional": "GGA-PBE", "state": "relaxed", "magmom_total_mub_per_fu": 0.0, "crystal_system": "monoclinic", "cell": [[5.6676, 0.0000, 0.0000], [0.0000, 9.8957, 0.0000], [-1.1799, 0.0000, 2.4089]], "species": ["Ag", "Ag", "Ag", "Ag", "Os", "Os", "Au", "Au"], "fractional_positions": [[0.2500, 0.2500, 0.0000], [0.2500, 0.7500, 0.0000], [0.7500, 0.2500, 0.0000], [0.7500, 0.7500, 0.0000], [0.0000, 0.0000, 0.5000], [0.5000, 0.5000, 0.5000], [0.0000, 0.5000, 0.5000], [0.5000, 0.0000, 0.5000]]}

---

Stability summary: most stable *z*, least stable *w*.

---

*w*
{"formula": "Ag2OsAu", "functional": "GGA-PBE", "state": "relaxed", "magmom_total_mub_per_fu": 0.4, "crystal_system": "tetragonal", "cell": [[2.7661, 0.0000, 0.0000], [0.0000, 2.7661, 0.0000], [0.0000, 0.0000, 8.7781]], "species": ["Ag", "Ag", "Os", "Au"], "fractional_positions": [[0.0000, 0.0000, 0.0000], [0.5000, 0.5000, 0.2562], [0.5000, 0.5000, 0.7562], [0.0000, 0.0000, 0.5154]]}

---

*x*
{"formula": "Ag2OsAu", "functional": "GGA-PBE", "state": "relaxed", "magmom_total_mub_per_fu": 0.0, "crystal_system": "orthorhombic", "cell": [[2.8429, 0.0000, 0.0000], [0.0000, 4.7505, 0.0000], [0.0000, 0.0000, 10.0369]], "species": ["Ag", "Ag", "Ag", "Ag", "Os", "Os", "Au", "Au"], "fractional_positions": [[0.0000, 0.0000, 0.2449], [0.0000, 0.0000, 0.7551], [0.5000, 0.5000, 0.2449], [0.5000, 0.5000, 0.7551], [0.0000, 0.5000, 0.0000], [0.5000, 0.0000, 0.0000], [0.0000, 0.5000, 0.5000], [0.5000, 0.0000, 0.5000]]}

---

Stability summary: most stable *x*, least stable *w*.